--- A ---
Density functional theory data (PBE) for a relaxed structure of Zn2InF2.

Lattice parameters (Å, degrees): 5.894 5.894 5.894 141.78 141.78 55.16
Sites, in units of the cell vectors:
1 Zn 0.130 0.130 0.000
2 Zn 0.870 0.870 0.000
3 In 0.500 0.500 0.000
4 F 0.250 0.750 0.500
5 F 0.750 0.250 0.500

Properties
M_tot, μB/f.u.: 0.0
Theoretical density, g/cm3: 6.05
SG: I4/mmm, No. 139

=====

--- B ---
Density functional theory data (PBE) for a relaxed structure of Zn2InF2.

Lattice parameters (Å, degrees): 7.545 7.545 7.545 153.13 153.13 38.36
Sites, in units of the cell vectors:
1 Zn 0.250 0.750 0.500
2 Zn 0.750 0.250 0.500
3 In 0.000 0.000 0.000
4 F 0.391 0.391 0.000
5 F 0.609 0.609 0.000

Properties
M_tot, μB/f.u.: 0.0
Theoretical density, g/cm3: 5.38
SG: I4/mmm, No. 139

=====

Bottom line: A, by a margin of 0.108 eV/atom.

=====

--- A ---
Density functional theory data (PBE) for a relaxed structure of Zn2InF.

Lattice parameters (Å, degrees): 5.909 5.909 5.909 100.89 100.89 128.47
Sites, in units of the cell vectors:
1 Zn 0.089 0.125 0.464
2 Zn 0.375 0.911 0.036
3 Zn 0.661 0.625 0.536
4 Zn 0.875 0.339 0.964
5 In 0.250 0.750 0.500
6 In 0.500 0.500 0.000
7 F 0.000 0.000 0.000
8 F 0.750 0.250 0.500

Properties
M_tot, μB/f.u.: 0.0
Theoretical density, g/cm3: 6.04
SG: I-42d, No. 122

=====

--- B ---
Density functional theory data (PBE) for a relaxed structure of Zn2InF.

Lattice parameters (Å, degrees): 4.690 4.690 4.690 60.00 60.00 60.00
Sites, in units of the cell vectors:
1 Zn 0.250 0.250 0.250
2 Zn 0.750 0.750 0.750
3 In 0.000 0.000 0.000
4 F 0.500 0.500 0.500

Properties
M_tot, μB/f.u.: 0.0
Theoretical density, g/cm3: 6.02
SG: Fm-3m, No. 225

=====

Bottom line: A, by a margin of 0.171 eV/atom.

=====

--- A ---
Density functional theory data (PBE) for a relaxed structure of Zr2InF.

Lattice parameters (Å, degrees): 7.919 7.919 7.919 141.70 141.70 55.27
Sites, in units of the cell vectors:
1 Zr 0.375 0.215 0.340
2 Zr 0.785 0.125 0.160
3 Zr 0.875 0.035 0.660
4 Zr 0.965 0.625 0.840
5 In 0.250 0.750 0.500
6 In 0.500 0.500 0.000
7 F 0.000 0.000 0.000
8 F 0.750 0.250 0.500

Properties
M_tot, μB/f.u.: 0.0
Theoretical density, g/cm3: 5.55
SG: I-42d, No. 122

=====

--- B ---
Density functional theory data (PBE) for a relaxed structure of Zr2InF.

Lattice parameters (Å, degrees): 4.828 4.828 4.828 60.00 60.00 60.00
Sites, in units of the cell vectors:
1 Zr 0.250 0.250 0.250
2 Zr 0.750 0.750 0.750
3 In 0.000 0.000 0.000
4 F 0.500 0.500 0.500

Properties
M_tot, μB/f.u.: 0.0
Theoretical density, g/cm3: 6.60
SG: Fm-3m, No. 225

=====

Bottom line: B, by a margin of 0.095 eV/atom.

=====

--- A ---
Density functional theory data (PBE) for a relaxed structure of ZrIn3F.

Lattice parameters (Å, degrees): 4.764 4.764 4.764 90.00 90.00 90.00
Sites, in units of the cell vectors:
1 Zr 0.000 0.000 0.000
2 In 0.000 0.500 0.500
3 In 0.500 0.000 0.500
4 In 0.500 0.500 0.000
5 F 0.500 0.500 0.500

Properties
M_tot, μB/f.u.: 0.0
Theoretical density, g/cm3: 6.98
SG: Pm-3m, No. 221

=====

--- B ---
Density functional theory data (PBE) for a relaxed structure of ZrIn3F.

Lattice parameters (Å, degrees): 5.749 5.749 5.749 90.00 90.00 90.00
Sites, in units of the cell vectors:
1 Zr 0.000 0.000 0.000
2 In 0.000 0.000 0.500
3 In 0.000 0.500 0.000
4 In 0.500 0.000 0.000
5 F 0.500 0.500 0.500

Properties
M_tot, μB/f.u.: 3.4
Theoretical density, g/cm3: 3.97
SG: Pm-3m, No. 221

=====

Bottom line: A, by a margin of 0.812 eV/atom.

=====

--- A ---
Density functional theory data (PBE) for a relaxed structure of KIrF.

Lattice parameters (Å, degrees): 7.024 7.024 6.299 93.85 93.85 23.12
Sites, in units of the cell vectors:
1 K 0.097 0.097 0.332
2 K 0.903 0.903 0.668
3 Ir 0.310 0.310 0.107
4 Ir 0.690 0.690 0.893
5 F 0.433 0.433 0.321
6 F 0.567 0.567 0.679

Properties
M_tot, μB/f.u.: 0.5
Theoretical density, g/cm3: 6.83
SG: C2/m, No. 12

=====

--- B ---
Density functional theory data (PBE) for a relaxed structure of KIrF.

Lattice parameters (Å, degrees): 7.136 7.136 3.971 105.97 105.97 45.68
Sites, in units of the cell vectors:
1 K 0.155 0.155 0.405
2 K 0.845 0.845 0.595
3 Ir 0.461 0.445 0.204
4 Ir 0.555 0.539 0.796
5 F 0.447 0.142 0.042
6 F 0.858 0.553 0.958

Properties
M_tot, μB/f.u.: 0.2
Theoretical density, g/cm3: 6.02
SG: C2, No. 5

=====

--- C ---
Density functional theory data (PBE) for a relaxed structure of KIrF.

Lattice parameters (Å, degrees): 2.853 2.853 6.609 90.00 90.00 90.00
Sites, in units of the cell vectors:
1 K 0.000 0.000 0.000
2 Ir 0.500 0.500 0.554
3 F 0.500 0.500 0.218

Properties
M_tot, μB/f.u.: 2.0
Theoretical density, g/cm3: 7.73
SG: P4mm, No. 99

=====

Bottom line: A, by a margin of 0.025 eV/atom.

=====

--- A ---
Density functional theory data (PBE) for a relaxed structure of KIrF.

Lattice parameters (Å, degrees): 10.561 10.561 10.561 161.82 161.82 25.82
Sites, in units of the cell vectors:
1 K 0.000 0.000 0.000
2 K 0.159 0.159 0.000
3 Ir 0.362 0.362 0.000
4 Ir 0.821 0.821 0.000
5 F 0.565 0.565 0.000
6 F 0.715 0.715 0.000

Properties
M_tot, μB/f.u.: 0.0
Theoretical density, g/cm3: 7.25
SG: I4mm, No. 107

=====

--- B ---
Density functional theory data (PBE) for a relaxed structure of KIrF.

Lattice parameters (Å, degrees): 10.419 10.419 3.760 90.09 90.09 16.14
Sites, in units of the cell vectors:
1 K 0.000 0.000 0.000
2 K 0.161 0.161 0.502
3 Ir 0.344 0.344 0.504
4 Ir 0.801 0.801 0.004
5 F 0.453 0.453 0.499
6 F 0.606 0.606 0.002

Properties
M_tot, μB/f.u.: 0.0
Theoretical density, g/cm3: 7.33
SG: Cm, No. 8

=====

Bottom line: B, by a margin of 0.036 eV/atom.